Entry 1:
{
  "formula": "CeSm3Pu2Se6",
  "functional": "GGA-PBE",
  "state": "relaxed",
  "volume_a3_per_cell": 307.7,
  "cell": [[7.200, -0.002, 0.001], [-3.599, 6.235, 0.001], [-1.200, -2.078, 6.855]],
  "species": ["Se", "Se", "Se", "Se", "Se", "Se", "Ce", "Pu", "Pu", "Sm", "Sm", "Sm"],
  "frac_coords": [[0.581, 0.917, 0.751], [0.083, 0.419, 0.249], [0.747, 0.747, 0.249], [0.253, 0.253, 0.751], [0.419, 0.083, 0.249], [0.917, 0.581, 0.751], [0.000, 0.000, 0.000], [0.667, 0.333, 0.000], [0.333, 0.667, 0.000], [0.166, 0.834, 0.500], [0.834, 0.166, 0.500], [0.500, 0.500, 0.500]]
}

=====

Entry 2:
{
  "formula": "InTeCl3",
  "functional": "GGA-PBE",
  "state": "relaxed",
  "volume_a3_per_cell": 169.9,
  "relative_energy_ev_per_atom": 0.000,
  "cell": [[-5.424, -0.052, -1.119], [-0.514, -4.801, 2.713], [-0.995, 2.761, 4.697]],
  "species": ["In", "Te", "Cl", "Cl", "Cl"],
  "frac_coords": [[0.500, 0.500, 0.500], [0.000, 0.000, 0.000], [0.000, 0.000, 0.500], [0.500, 0.000, 0.000], [0.000, 0.500, 0.000]]
}

=====

Entry 3:
{
  "formula": "TbScSi2Pt2",
  "functional": "GGA-PBE",
  "state": "relaxed",
  "volume_a3_per_cell": 109.0,
  "cell": [[4.277, 0.000, 0.000], [-2.138, 3.704, 0.000], [0.000, 0.000, 6.880]],
  "species": ["Si", "Si", "Pt", "Pt", "Tb", "Sc"],
  "frac_coords": [[0.333, 0.667, 0.713], [0.667, 0.333, 0.287], [0.667, 0.333, 0.709], [0.333, 0.667, 0.291], [0.000, 0.000, 0.000], [0.000, 0.000, 0.500]]
}

=====

no.,M_tot (μB/f.u.),uncorrected energy (eV/f.u.),formation energy without anion corrections (eV per atom)
1,12.6,-90.6,-1.74
2,0.0,-13.5,-0.42
3,0.0,-40.9,-1.16